A relaxed structure of BC. Source: Alexandria via LeMat-Bulk, functional PBE-GGA.

Cell lengths 7.0725, 7.4101, 7.4101 Å; angles 160.34, 141.06, 44.21 degrees
Positions (direct):
B: 0.9860 0.3389 0.6471
B: 0.5660 0.1886 0.3774
B: 0.0436 0.1107 0.9329
B: 0.6184 0.9563 0.6622
B: 0.1470 0.7832 0.3638
B: 0.6453 0.6165 0.0289
C: 0.6145 0.2994 0.3151
C: 0.0079 0.9966 0.0112
C: 0.5159 0.8337 0.6822
C: 0.0120 0.6640 0.3480
C: 0.4712 0.4983 0.9730
C: 0.1221 0.4637 0.6584

=====

A relaxed structure of B3C2. Source: Alexandria via LeMat-Bulk, functional PBE-GGA.

Cell lengths 4.7399, 4.7399, 7.4009 Å; angles 61.69, 61.69, 33.27 degrees
Positions (direct):
B: 0.8215 0.8215 0.9041
B: 0.6059 0.6059 0.8018
B: 0.6078 0.6078 0.3987
B: 0.3922 0.3922 0.6013
B: 0.3941 0.3941 0.1982
B: 0.1785 0.1785 0.0959
C: 0.0075 0.0075 0.8847
C: 0.8063 0.8063 0.6897
C: 0.1937 0.1937 0.3103
C: 0.9925 0.9925 0.1153

=====

A relaxed structure of B11C. Source: Alexandria via LeMat-Bulk, functional PBE-GGA.

Cell lengths 2.8588, 2.8588, 12.2966 Å; angles 90.00, 90.00, 120.00 degrees
Positions (direct):
B: 0.6667 0.3333 0.8461
B: 0.0000 0.0000 0.8131
B: 0.3333 0.6667 0.6403
B: 0.6667 0.3333 0.7136
B: 0.6667 0.3333 0.4088
B: 0.0000 0.0000 0.2952
B: 0.0000 0.0000 0.4470
B: 0.3333 0.6667 0.5023
B: 0.3333 0.6667 0.1989
B: 0.6667 0.3333 0.2646
B: 0.0000 0.0000 0.0505
C: 0.3333 0.6667 0.0696

=====

A relaxed structure of BC. Source: Alexandria via LeMat-Bulk, functional PBE-GGA.

Cell lengths 4.5272, 4.5272, 8.7667 Å; angles 124.19, 124.19, 33.97 degrees
Positions (direct):
B: 0.6331 0.6331 0.3131
B: 0.4554 0.4554 0.4026
B: 0.1639 0.1639 0.1848
B: 0.8394 0.8394 0.0701
B: 0.4643 0.4643 0.8577
B: 0.1854 0.1854 0.7158
C: 0.3761 0.3761 0.1848
C: 0.9949 0.9949 0.9659
C: 0.7584 0.7584 0.8582
C: 0.3320 0.3320 0.6410
C: 0.9816 0.9816 0.5139
C: 0.8154 0.8154 0.5421

=====

| no. | relative energy among the computed polymorphs (eV/atom) | raw total energy (eV per atom) |
| --- | --- | --- |
| 1 | 0.211 | -7.5885 |
| 2 | 0.113 | -7.3723 |
| 3 | 0.230 | -6.3862 |
| 4 | 0.225 | -7.5748 |